[1]
AcY3N | GGA-PBE | relaxed

Properties
Fermi-level density of states: 1.540 states/eV per atom
Mass density: 6.5 Mg/m³
ΔE_f (raw): -0.40 eV/atom

abc: 5.074 5.074 5.074
angles: 90.00 90.00 90.00
Space group Pm-3m (No. 221)
Symmetry-distinct sites (fractional):
1 Ac 0.000 0.000 0.000 x1
2 Y 0.000 0.500 0.500 x3
3 N 0.500 0.500 0.500 x1



[2]
GdThMgCu | GGA-PBE | relaxed

Properties
Formation energy from the elements: 0.1 eV/f.u.
Fermi-level density of states: 0.821 states/eV per atom
Mass density: 7.9 Mg/m³

abc: 7.382 7.382 7.382
angles: 90.00 90.00 90.00
Space group F-43m (No. 216)
Symmetry-distinct sites (fractional):
1 Gd 0.000 0.000 0.000 x4
2 Th 0.000 0.000 0.500 x4
3 Mg 0.250 0.250 0.250 x4
4 Cu 0.250 0.250 0.750 x4



[3]
KSr2CdAu | GGA-PBE | relaxed

Properties
Formation energy from the elements: -1.2 eV/f.u.
Fermi-level density of states: 0.882 states/eV per atom
Mass density: 4.2 Mg/m³

abc: 6.173 6.173 5.484
angles: 90.00 90.00 90.00
Space group P4/mmm (No. 123)
Symmetry-distinct sites (fractional):
1 K 0.000 0.000 0.000 x1
2 Sr 0.000 0.500 0.500 x2
3 Cd 0.500 0.500 0.000 x1
4 Au 0.500 0.500 0.500 x1



[4]
Al2NiMo | GGA-PBE | relaxed

Properties
Formation energy from the elements: -0.9 eV/f.u.
Fermi-level density of states: 0.662 states/eV per atom
Mass density: 6.1 Mg/m³

abc: 2.720 3.980 5.285
angles: 90.00 98.55 90.00
Space group P2/m (No. 10)
Symmetry-distinct sites (fractional):
1 Al 0.144 0.000 0.259 x2
2 Ni 0.000 0.500 0.500 x1
3 Mo 0.500 0.500 0.000 x1



[5]
LiYI2 | GGA-PBE | relaxed

Properties
Fermi-level density of states: 0.549 states/eV per atom
Mass density: 5.2 Mg/m³
ΔE_f (raw): -0.62 eV/atom

abc: 7.638 7.638 7.638
angles: 90.00 90.00 90.00
Space group Fm-3m (No. 225)
Symmetry-distinct sites (fractional):
1 Li 0.000 0.000 0.000 x4
2 Y 0.000 0.000 0.500 x4
3 I 0.250 0.250 0.250 x8



[6]
TcNi2Pd | GGA-PBE | relaxed

Properties
Formation energy from the elements: 0.6 eV/f.u.
Fermi-level density of states: 1.714 states/eV per atom
Mass density: 10.4 Mg/m³

abc: 5.908 5.908 5.908
angles: 90.00 90.00 90.00
Space group Fm-3m (No. 225)
Symmetry-distinct sites (fractional):
1 Tc 0.000 0.000 0.000 x4
2 Ni 0.250 0.250 0.250 x8
3 Pd 0.000 0.000 0.500 x4



[7]
LaPr3Ho3 | GGA-PBE | relaxed

Properties
Formation energy from the elements: 0.9 eV/f.u.
Fermi-level density of states: 1.308 states/eV per atom
Mass density: 7.2 Mg/m³

abc: 9.4916 9.4916 18.8436
angles: 90.00 90.00 120.00
Space group R-3 (No. 148, hexagonal axes)
Symmetry-distinct sites (fractional):
1 La 0.0000 0.0000 0.0900 x6
2 Pr 0.0484 0.8084 0.5773 x18
3 Ho 0.0481 0.8133 0.7602 x18



[8]
In2Pb7 | GGA-PBE | relaxed

Properties
Formation energy from the elements: 0.0 eV/f.u.
Fermi-level density of states: 0.349 states/eV per atom
Mass density: 10.1 Mg/m³

abc: 5.9960 5.9960 8.8684
angles: 90.00 90.00 120.00
Space group P-31m (No. 162)
Symmetry-distinct sites (fractional):
1 In 0.3333 0.6667 0.0000 x2
2 Pb 0.0000 0.0000 0.0000 x1
3 Pb 0.0000 0.3328 0.6715 x6



[9]
CdOs2Br | GGA-PBE | relaxed

Properties
Fermi-level density of states: 0.598 states/eV per atom
Mass density: 12.7 Mg/m³
ΔE_f (raw): 0.95 eV/atom

abc: 10.727 2.913 5.501
angles: 90.00 119.40 90.00
Space group Cm (No. 8)
Symmetry-distinct sites (fractional):
1 Cd 0.000 0.000 0.000 x2
2 Os 0.043 0.500 0.578 x2
3 Os 0.239 0.000 0.582 x2
4 Br 0.317 0.500 0.291 x2



[10]
Ce2Al3Si | GGA-PBE | relaxed

Properties
Fermi-level density of states: 1.815 states/eV per atom
Mass density: 4.8 Mg/m³
ΔE_f (raw): -0.47 eV/atom

abc: 8.307 8.623 14.932
angles: 90.00 90.00 90.00
Space group Fmmm (No. 69)
Symmetry-distinct sites (fractional):
1 Ce 0.247 0.000 0.000 x8
2 Ce 0.250 0.250 0.250 x8
3 Al 0.000 0.000 0.331 x8
4 Al 0.000 0.247 0.085 x16
5 Si 0.000 0.000 0.167 x8



[11]
Sm6PC2I3 | GGA-PBE | relaxed

Properties
Fermi-level density of states: 0.335 states/eV per atom
Mass density: 7.1 Mg/m³
ΔE_f (raw): -0.93 eV/atom

abc: 6.851 11.866 7.994
angles: 90.00 106.60 90.00
Space group C2/m (No. 12)
Symmetry-distinct sites (fractional):
1 Sm 0.203 0.000 0.175 x4
2 Sm 0.236 0.322 0.175 x8
3 P 0.000 0.500 0.000 x2
4 C 0.000 0.167 0.000 x4
5 I 0.000 0.000 0.500 x2
6 I 0.000 0.336 0.500 x4



[12]
BaLi2NdAu4 | GGA-PBE | relaxed

Properties
Formation energy from the elements: -5.3 eV/f.u.
Fermi-level density of states: 0.505 states/eV per atom
Mass density: 9.3 Mg/m³

abc: 4.6224 4.6224 31.1935
angles: 90.00 90.00 120.00
Space group R-3m (No. 166, hexagonal axes)
Symmetry-distinct sites (fractional):
1 Ba 0.0000 0.0000 0.0000 x3
2 Li 0.0000 0.0000 0.2430 x6
3 Nd 0.0000 0.0000 0.5000 x3
4 Au 0.0000 0.0000 0.1128 x6
5 Au 0.0000 0.0000 0.4017 x6



Copy entry 6 word for word.
TcNi2Pd | GGA-PBE | relaxed

Properties
Formation energy from the elements: 0.6 eV/f.u.
Fermi-level density of states: 1.714 states/eV per atom
Mass density: 10.4 Mg/m³

abc: 5.908 5.908 5.908
angles: 90.00 90.00 90.00
Space group Fm-3m (No. 225)
Symmetry-distinct sites (fractional):
1 Tc 0.000 0.000 0.000 x4
2 Ni 0.250 0.250 0.250 x8
3 Pd 0.000 0.000 0.500 x4



> Look up the mass density of the seventh one.

7.2 Mg/m³